Model P:
{
  "formula": "MnIr2Cl",
  "functional": "PBE",
  "state": "optimized geometry",
  "lattice_angstrom": [[-2.370, -0.301, 1.511], [0.010, -0.562, -2.771], [2.160, -8.418, 1.715]],
  "species": ["Cl", "Ir", "Ir", "Mn"],
  "frac_coords": [[0.500, 0.500, 0.750], [0.000, 0.000, 0.017], [0.000, 0.000, 0.483], [0.500, 0.500, 0.250]],
  "space_group": "No. 65",
  "vol_a3_per_cell": 61.1
}



Model Q:
{
  "formula": "MnIr2Cl",
  "functional": "PBE",
  "state": "optimized geometry",
  "lattice_angstrom": [[4.541, 0.000, 0.000], [0.000, 4.541, 0.000], [0.000, 0.000, 2.903]],
  "species": ["Cl", "Ir", "Ir", "Mn"],
  "frac_coords": [[0.000, 0.500, 0.500], [0.000, 0.000, 0.000], [0.500, 0.500, 0.000], [0.500, 0.000, 0.500]],
  "space_group": "No. 123",
  "vol_a3_per_cell": 59.9
}



Model R:
{
  "formula": "MnIr2Cl",
  "functional": "PBE",
  "state": "optimized geometry",
  "lattice_angstrom": [[-2.142, -1.659, -1.070], [0.991, -2.270, 1.534], [-4.206, 1.883, 5.501]],
  "species": ["Cl", "Ir", "Ir", "Mn"],
  "frac_coords": [[0.500, 0.500, 0.750], [0.000, 0.000, 0.040], [0.000, 0.000, 0.460], [0.500, 0.500, 0.250]],
  "space_group": "No. 123",
  "vol_a3_per_cell": 60.9
}



Energies relative to the most stable structure are model P 16; model Q 423; model R 0, reported in meV per atom.



Model P:
{
  "formula": "MnIr2Cl",
  "functional": "PBE",
  "state": "optimized geometry",
  "lattice_angstrom": [[-3.958, -1.399, 1.256], [-3.408, 0.328, -2.733], [-1.721, -3.606, -1.798]],
  "species": ["Ir", "Ir", "Mn", "Cl"],
  "frac_coords": [[0.250, 0.250, 0.250], [0.750, 0.750, 0.750], [0.500, 0.500, 0.500], [0.000, 0.000, 0.000]],
  "space_group": "No. 225",
  "vol_a3_per_cell": 59.5
}



Model Q:
{
  "formula": "MnIr2Cl",
  "functional": "PBE",
  "state": "optimized geometry",
  "lattice_angstrom": [[5.920, 0.000, 0.000], [0.000, 5.920, 0.000], [2.960, 2.960, 4.358]],
  "species": ["Ir", "Ir", "Ir", "Ir", "Mn", "Mn", "Cl", "Cl"],
  "frac_coords": [[0.658, 0.125, 0.250], [0.092, 0.625, 0.250], [0.375, 0.342, 0.750], [0.875, 0.908, 0.750], [0.000, 0.000, 0.000], [0.750, 0.250, 0.500], [0.500, 0.500, 0.000], [0.250, 0.750, 0.500]],
  "space_group": "No. 122",
  "vol_a3_per_cell": 152.7
}



Model R:
{
  "formula": "MnIr2Cl",
  "functional": "PBE",
  "state": "optimized geometry",
  "lattice_angstrom": [[-2.790, 0.134, 0.477], [0.245, -1.998, 1.995], [1.348, 6.269, 6.113]],
  "species": ["Cl", "Ir", "Ir", "Mn"],
  "frac_coords": [[0.500, 0.500, 0.666], [0.000, 0.000, 0.075], [0.500, 0.500, 0.272], [0.000, 0.000, 0.488]],
  "space_group": "No. 99",
  "vol_a3_per_cell": 71.2
}



Energies relative to the most stable structure are model P 588; model Q 694; model R 0, reported in meV per atom.



Model P:
{
  "formula": "MnIr2Cl",
  "functional": "PBE",
  "state": "optimized geometry",
  "lattice_angstrom": [[3.983, 0.000, 0.000], [0.000, 3.931, 0.000], [0.000, 0.000, 3.931]],
  "species": ["Cl", "Ir", "Ir", "Mn"],
  "frac_coords": [[0.500, 0.000, 0.500], [0.000, 0.000, 0.000], [0.000, 0.500, 0.500], [0.500, 0.500, 0.000]],
  "space_group": "No. 123",
  "vol_a3_per_cell": 61.5
}



Model Q:
{
  "formula": "MnIr2Cl",
  "functional": "PBE",
  "state": "optimized geometry",
  "lattice_angstrom": [[4.601, -0.027, -0.128], [3.728, 2.696, -0.128], [0.471, 0.151, 6.506]],
  "species": ["Cl", "Ir", "Ir", "Mn"],
  "frac_coords": [[0.061, 0.061, 0.275], [0.085, 0.085, 0.883], [0.818, 0.818, 0.778], [0.535, 0.535, 0.563]],
  "space_group": "No. 8",
  "vol_a3_per_cell": 81.5
}



Model R:
{
  "formula": "MnIr2Cl",
  "functional": "PBE",
  "state": "optimized geometry",
  "lattice_angstrom": [[4.664, 0.165, 0.000], [-1.394, 4.454, 0.000], [0.000, 0.000, 2.847]],
  "species": ["Cl", "Ir", "Ir", "Mn"],
  "frac_coords": [[0.000, 0.500, 0.500], [0.000, 0.000, 0.000], [0.500, 0.500, 0.000], [0.500, 0.000, 0.500]],
  "space_group": "No. 65",
  "vol_a3_per_cell": 59.8
}



Model S:
{
  "formula": "MnIr2Cl",
  "functional": "PBE",
  "state": "optimized geometry",
  "lattice_angstrom": [[4.580, 0.000, 0.000], [0.000, 2.885, -0.036], [0.000, -0.003, 4.649]],
  "species": ["Cl", "Ir", "Ir", "Mn"],
  "frac_coords": [[0.500, 0.750, 0.750], [0.000, 0.001, 0.005], [0.000, 0.499, 0.495], [0.500, 0.250, 0.250]],
  "space_group": "No. 10",
  "vol_a3_per_cell": 61.4
}



Energies relative to the most stable structure are model P 687; model Q 0; model R 578; model S 276, reported in meV per atom.



Model P:
{
  "formula": "MnIr2Cl",
  "functional": "PBE",
  "state": "optimized geometry",
  "lattice_angstrom": [[6.274, 0.031, -0.010], [4.264, 4.602, 0.010], [-4.890, -3.179, 2.312]],
  "species": ["Cl", "Ir", "Ir", "Mn"],
  "frac_coords": [[0.750, 0.250, 0.500], [0.035, 0.035, 0.000], [0.465, 0.465, 0.000], [0.250, 0.750, 0.500]],
  "space_group": "No. 71",
  "vol_a3_per_cell": 66.5
}



Model Q:
{
  "formula": "MnIr2Cl",
  "functional": "PBE",
  "state": "optimized geometry",
  "lattice_angstrom": [[-3.297, 3.840, -1.973], [-5.015, 1.958, -0.720], [-0.042, 2.406, 3.554]],
  "species": ["Cl", "Ir", "Ir", "Mn"],
  "frac_coords": [[0.250, 0.250, 0.250], [0.037, 0.037, 0.979], [0.463, 0.463, 0.521], [0.750, 0.750, 0.750]],
  "space_group": "No. 12",
  "vol_a3_per_cell": 63.5
}



Energies relative to the most stable structure are model P 10; model Q 0, reported in meV per atom.